(1)
InSbBr2: relaxed, GGA-PBE.

a = 5.662 Å, b = 5.662 Å, c = 3.600 Å
α = 90.00°, β = 90.00°, γ = 90.00°
Atoms (fractional coordinates):
Br  0.000  0.000  0.000
Br  0.500  0.500  0.000
Sb  0.000  0.500  0.500
In  0.500  0.000  0.500

Output
- Raw formation energy: -0.1006 eV per atom



(2)
BeFeRe2: relaxed, GGA-PBE.

a = 3.715 Å, b = 2.621 Å, c = 5.518 Å
α = 67.61°, β = 90.00°, γ = 90.00°
Atoms (fractional coordinates):
Re  0.000  0.469  0.493
Re  0.000  0.031  0.007
Be  0.500  0.250  0.250
Fe  0.500  0.750  0.750



(3)
NaNdZnSn: relaxed, GGA-PBE.

a = 5.264 Å, b = 5.264 Å, c = 5.264 Å
α = 60.00°, β = 60.00°, γ = 60.00°
Atoms (fractional coordinates):
Na  0.500  0.500  0.500
Zn  0.750  0.750  0.750
Nd  0.000  0.000  0.000
Sn  0.250  0.250  0.250



(4)
Pa2GaPb: relaxed, GGA-PBE.

a = 4.282 Å, b = 4.282 Å, c = 7.523 Å
α = 73.46°, β = 73.46°, γ = 60.00°
Atoms (fractional coordinates):
Pa  0.740  0.740  0.779
Pa  0.260  0.260  0.221
Ga  0.000  0.000  0.000
Pb  0.500  0.500  0.500



(5)
Dy6Ho2Er5: relaxed, GGA-PBE.

a = 3.546 Å, b = 11.516 Å, c = 20.002 Å
α = 90.00°, β = 90.00°, γ = 90.00°
Atoms (fractional coordinates):
Er  0.500  0.198  0.949
Er  0.500  0.302  0.449
Er  0.500  0.409  0.726
Er  0.500  0.000  0.500
Er  0.500  0.909  0.774
Er  0.500  0.091  0.226
Er  0.500  0.591  0.274
Er  0.500  0.500  0.000
Er  0.500  0.802  0.051
Er  0.500  0.698  0.551
Ho  0.000  0.666  0.710
Ho  0.000  0.166  0.790
Ho  0.000  0.834  0.210
Ho  0.000  0.334  0.290
Dy  0.500  0.828  0.365
Dy  0.500  0.328  0.135
Dy  0.000  0.417  0.868
Dy  0.000  0.559  0.419
Dy  0.000  0.083  0.368
Dy  0.500  0.672  0.865
Dy  0.000  0.583  0.132
Dy  0.000  0.059  0.081
Dy  0.000  0.917  0.632
Dy  0.000  0.441  0.581
Dy  0.000  0.941  0.919
Dy  0.500  0.172  0.635



(6)
Nd2Al2Co15: relaxed, GGA-PBE.

a = 6.359 Å, b = 6.359 Å, c = 6.359 Å
α = 82.79°, β = 82.79°, γ = 82.79°
Site moments in Bohr magnetons follow the coordinates.
Atoms (fractional coordinates):
Co  0.716  0.000  0.284  1.50
Co  0.146  0.653  0.653  1.35
Co  0.000  0.500  0.000  1.37
Co  0.854  0.347  0.347  1.35
Co  0.653  0.146  0.653  1.35
Co  0.284  0.716  0.000  1.50
Co  0.284  0.000  0.716  1.50
Co  0.716  0.284  0.000  1.50
Co  0.653  0.653  0.146  1.35
Co  0.000  0.000  0.500  1.37
Co  0.347  0.854  0.347  1.35
Co  0.500  0.000  0.000  1.37
Co  0.000  0.284  0.716  1.50
Co  0.000  0.716  0.284  1.50
Co  0.347  0.347  0.854  1.35
Al  0.895  0.895  0.895  -0.04
Al  0.105  0.105  0.105  -0.04
Nd  0.647  0.647  0.647  -0.20
Nd  0.353  0.353  0.353  -0.20



(7)
La3DyTl2: relaxed, GGA-PBE.

a = 5.236 Å, b = 6.906 Å, c = 10.568 Å
α = 90.00°, β = 90.00°, γ = 90.00°
Atoms (fractional coordinates):
La  0.000  0.322  0.314
La  0.000  0.415  0.948
La  0.000  0.915  0.052
La  0.500  0.701  0.184
La  0.500  0.201  0.816
La  0.000  0.822  0.686
Dy  0.500  0.554  0.539
Dy  0.500  0.054  0.461
Tl  0.000  0.302  0.623
Tl  0.000  0.802  0.377
Tl  0.500  0.207  0.138
Tl  0.500  0.707  0.862



(8)
LiPrDyCo: relaxed, GGA-PBE.

a = 4.969 Å, b = 4.969 Å, c = 4.969 Å
α = 60.00°, β = 60.00°, γ = 60.00°
Atoms (fractional coordinates):
Pr  0.750  0.750  0.750
Co  0.000  0.000  0.000
Dy  0.250  0.250  0.250
Li  0.500  0.500  0.500



(9)
SmScInPb: relaxed, GGA-PBE.

a = 5.315 Å, b = 5.315 Å, c = 5.315 Å
α = 60.00°, β = 60.00°, γ = 60.00°
Atoms (fractional coordinates):
Pb  0.500  0.500  0.500
In  0.000  0.000  0.000
Sm  0.250  0.250  0.250
Sc  0.750  0.750  0.750



(10)
ThAg3I2Cl6: relaxed, GGA-PBE.

a = 6.443 Å, b = 8.037 Å, c = 8.233 Å
α = 119.21°, β = 93.99°, γ = 90.00°
Atoms (fractional coordinates):
Cl  0.746  0.320  0.156
Cl  0.254  0.164  0.844
Cl  0.746  0.836  0.156
Cl  0.275  0.154  0.307
Cl  0.254  0.680  0.844
Cl  0.725  0.846  0.693
I  0.770  0.324  0.648
I  0.230  0.676  0.352
Ag  0.500  0.000  0.500
Ag  0.500  0.500  0.500
Ag  0.000  0.500  0.000
Th  0.500  0.000  0.000

Output
- Raw formation energy: -1.0344 eV per atom



(11)
AgTeBr3: relaxed, GGA-PBE.

a = 4.348 Å, b = 12.603 Å, c = 9.626 Å
α = 108.68°, β = 90.10°, γ = 133.47°
Atoms (fractional coordinates):
Br  0.352  0.854  0.967
Br  0.416  0.662  0.603
Br  0.054  0.560  0.119
Br  0.128  0.992  0.454
Br  0.006  0.286  0.302
Br  0.962  0.184  0.819
Te  0.858  0.372  0.575
Te  0.562  0.474  0.847
Ag  0.320  0.848  0.272
Ag  0.121  0.999  0.149

Output
- Raw formation energy: -0.2547 eV per atom



no.,calculated total energy (eV per atom)
1,-2.652
2,-9.180
3,-3.169
4,-6.238
5,-4.483
6,-6.630
7,-4.310
8,-4.597
9,-4.733
10,-3.547
11,-2.457